DFT (PBE-GGA) results for KAcSb after structural relaxation.

a = 10.870 Å, b = 10.870 Å, c = 10.870 Å
α = 159.90°, β = 142.35°, γ = 43.04°
Element x y z (fractional)
K  0.185  0.185  0.000
K  0.815  0.815  0.000
Ac  0.264  0.500  0.764
Ac  0.736  0.500  0.236
Sb  0.359  0.359  0.000
Sb  0.641  0.641  0.000

Results
Polymorph energy (0 for the lowest one)   312 meV per atom
Formation energy (no corrections)   -0.162 eV per atom
Magnetization   0.00 μB/cell

***

DFT (PBE-GGA) results for KAcSb4 after structural relaxation.

a = 4.406 Å, b = 11.113 Å, c = 4.695 Å
α = 90.00°, β = 90.04°, γ = 90.00°
Element x y z (fractional)
K  0.000  0.000  0.000
Ac  0.503  0.500  0.579
Sb  0.003  0.255  0.503
Sb  0.003  0.745  0.503
Sb  0.503  0.273  0.083
Sb  0.503  0.727  0.083

Results
Polymorph energy (0 for the lowest one)   0 meV per atom
Formation energy (no corrections)   -0.466 eV per atom
Magnetization   0.00 μB/cell

***

DFT (PBE-GGA) results for K2AcSbSe4 after structural relaxation.

a = 9.009 Å, b = 9.009 Å, c = 9.009 Å
α = 121.18°, β = 118.73°, γ = 90.09°
Element x y z (fractional)
K  0.000  0.000  0.000
K  0.500  0.000  0.000
K  0.500  0.000  0.500
K  0.500  0.500  0.500
Ac  0.000  0.500  0.500
Ac  0.500  0.500  0.000
Sb  0.000  0.000  0.500
Sb  0.000  0.500  0.000
Se  0.211  0.744  0.467
Se  0.223  0.256  0.967
Se  0.232  0.247  0.514
Se  0.232  0.718  0.986
Se  0.768  0.282  0.014
Se  0.768  0.753  0.486
Se  0.777  0.744  0.033
Se  0.789  0.256  0.533

Results
Formation energy (no corrections)   -1.230 eV per atom
Magnetization   0.00 μB/cell